Record 1
Below is a PBEsol-optimized structure of KScAl2, with properties calculated at the SCAN level.

The value obtained for the total energy is -8.965 eV per atom. The excess energy over the best structure of this formula in the dataset is 57.4 kJ per mole of atoms. The energy of formation is 0.552 eV per atom.

The structure belongs to space group I4_1/amd (No. 141, origin choice 2); the cell edges are 5.245, 5.245 and 19.961 Å and the angles 90.00°, 90.00° and 90.00°. Symmetry generates all atoms from K at (0.000, 0.250, 0.375), Sc at (0.000, 0.250, 0.875) and Al at (0.000, 0.000, 0.000).

***

Record 2
Below is a PBEsol-optimized structure of LaMgI5, with properties calculated at the SCAN level.

The value obtained for the total energy is -34.482 eV per atom. The excess energy over the best structure of this formula in the dataset is 7.2 kJ per mole of atoms. The formation energy from raw total energies comes out at -1.37 eV/atom.

The structure belongs to space group Cc (No. 9); the cell edges are 11.877, 10.867 and 11.798 Å and the angles 90.00°, 119.04° and 90.00°. Symmetry generates all atoms from La at (0.000, 0.250, 0.000), Mg at (0.251, 0.146, 0.749), I at (0.080, 0.028, 0.528), I at (0.133, 0.311, 0.833), I at (0.249, 0.331, 0.251), I at (0.366, 0.315, 0.665) and I at (0.426, 0.030, 0.970).

***

Record 3
Below is a PBEsol-optimized structure of LiRhAu, with properties calculated at the SCAN level.

The value obtained for the total energy is -34.988 eV per atom. The energy of formation is 0.118 eV per atom.

The structure belongs to space group F-43m (No. 216); the cell edges are 5.592, 5.592 and 5.592 Å and the angles 90.00°, 90.00° and 90.00°. Symmetry generates all atoms from Li at (0.000, 0.000, 0.000), Rh at (0.250, 0.250, 0.250) and Au at (0.250, 0.250, 0.750).

***

Record 4
Below is a PBEsol-optimized structure of ZnFeS3, with properties calculated at the SCAN level.

The value obtained for the total energy is -11.394 eV per atom. The formation energy from raw total energies comes out at 0.71 eV/atom.

The structure belongs to space group Pm-3m (No. 221); the cell edges are 4.548, 4.548 and 4.548 Å and the angles 90.00°, 90.00° and 90.00°. Symmetry generates all atoms from Zn at (0.000, 0.000, 0.000), Fe at (0.500, 0.500, 0.500) and S at (0.000, 0.000, 0.500).